1.
## PmSc3As2 (GGA-PBE)

Data for a geometry-optimized PmSc3As2 structure.

Unit cell a=7.944 b=7.944 c=10.110 alpha=111.09 beta=111.09 gamma=28.81
Positions (direct):
Pm (0.124, 0.124, 0.034)
Pm (0.876, 0.876, 0.966)
Sc (0.058, 0.058, 0.394)
Sc (0.285, 0.285, 0.628)
Sc (0.380, 0.380, 0.316)
Sc (0.620, 0.620, 0.684)
Sc (0.715, 0.715, 0.372)
Sc (0.942, 0.942, 0.606)
As (0.226, 0.226, 0.839)
As (0.480, 0.480, 0.812)
As (0.520, 0.520, 0.188)
As (0.774, 0.774, 0.161)

The value obtained for the formation energy is -0.873 eV per atom. Its crystal system is monoclinic. The total energy comes out at -6.380 eV per atom. The calculation puts the density of states at the Fermi level at 6.2 states/eV/f.u. The space-group type is C2/m, No. 12.

---

2.
## PmScAs (GGA-PBE)

Data for a geometry-optimized PmScAs structure.

Unit cell a=4.206 b=4.206 c=8.021 alpha=90.00 beta=90.00 gamma=90.00
Positions (direct):
Pm (0.250, 0.250, 0.148)
Pm (0.750, 0.750, 0.852)
Sc (0.250, 0.750, 0.500)
Sc (0.750, 0.250, 0.500)
As (0.250, 0.250, 0.754)
As (0.750, 0.750, 0.246)

The value obtained for the formation energy is -1.028 eV per atom. Its crystal system is tetragonal. The total energy comes out at -6.272 eV per atom. The calculation puts the density of states at the Fermi level at 2.7 states/eV/f.u. The space-group type is P4/nmm, No. 129.

---

3.
## PmScAs (GGA-PBE)

Data for a geometry-optimized PmScAs structure.

Unit cell a=4.754 b=4.754 c=4.754 alpha=60.00 beta=60.00 gamma=60.00
Positions (direct):
Pm (0.000, 0.000, 0.000)
Sc (0.500, 0.500, 0.500)
As (0.250, 0.250, 0.250)

The value obtained for the formation energy is -0.762 eV per atom. Its crystal system is cubic. The total energy comes out at -6.006 eV per atom. The calculation puts the density of states at the Fermi level at 2.7 states/eV/f.u. The space-group type is F-43m, No. 216.

---

4.
## Pm5ScAs6 (GGA-PBE)

Data for a geometry-optimized Pm5ScAs6 structure.

Unit cell a=7.249 b=7.249 c=7.251 alpha=99.61 beta=99.61 gamma=120.00
Positions (direct):
Pm (0.000, 0.000, 0.000)
Pm (0.166, 0.834, 0.500)
Pm (0.331, 0.669, 0.000)
Pm (0.669, 0.331, 0.000)
Pm (0.834, 0.166, 0.500)
Sc (0.500, 0.500, 0.500)
As (0.097, 0.420, 0.258)
As (0.259, 0.259, 0.744)
As (0.420, 0.097, 0.258)
As (0.580, 0.903, 0.742)
As (0.741, 0.741, 0.256)
As (0.903, 0.580, 0.742)

The value obtained for the formation energy is -1.475 eV per atom. Its crystal system is monoclinic. The total energy comes out at -6.307 eV per atom. The calculation puts the density of states at the Fermi level at 1.8 states/eV/f.u. The space-group type is C2/m, No. 12.

---

5.
## Pm3ScAs4 (GGA-PBE)

Data for a geometry-optimized Pm3ScAs4 structure.

Unit cell a=7.195 b=7.195 c=4.164 alpha=90.00 beta=90.00 gamma=109.50
Positions (direct):
Pm (0.000, 0.000, 0.000)
Pm (0.000, 0.500, 0.500)
Pm (0.500, 0.000, 0.500)
Sc (0.500, 0.500, 0.000)
As (0.257, 0.743, 0.000)
As (0.264, 0.264, 0.500)
As (0.736, 0.736, 0.500)
As (0.743, 0.257, 0.000)

The value obtained for the formation energy is -1.453 eV per atom. Its crystal system is orthorhombic. The total energy comes out at -6.351 eV per atom. The calculation puts the density of states at the Fermi level at 0.6 states/eV/f.u. The space-group type is Cmmm, No. 65.

---

6.
## Pm3ScAs4 (GGA-PBE)

Data for a geometry-optimized Pm3ScAs4 structure.

Unit cell a=5.890 b=5.890 c=5.890 alpha=90.00 beta=90.00 gamma=90.00
Positions (direct):
Pm (0.000, 0.000, 0.500)
Pm (0.000, 0.500, 0.000)
Pm (0.500, 0.000, 0.000)
Sc (0.500, 0.500, 0.500)
As (0.000, 0.000, 0.000)
As (0.000, 0.500, 0.500)
As (0.500, 0.000, 0.500)
As (0.500, 0.500, 0.000)

The value obtained for the formation energy is -1.431 eV per atom. Its crystal system is cubic. The total energy comes out at -6.329 eV per atom. The calculation puts the density of states at the Fermi level at 0.7 states/eV/f.u. The space-group type is Pm-3m, No. 221.

---

7.
## PmScAsSe (GGA-PBE)

Data for a geometry-optimized PmScAsSe structure.

Unit cell a=7.326 b=7.326 c=7.326 alpha=31.48 beta=31.48 gamma=31.48
Positions (direct):
Pm (0.000, 0.000, 0.000)
Sc (0.821, 0.821, 0.821)
As (0.420, 0.420, 0.420)
Se (0.236, 0.236, 0.236)

As for the formation energy without anion corrections: -1573 meV/atom. Its crystal system is trigonal. The total energy comes out at -6.377 eV per atom. The calculation puts the density of states at the Fermi level at 3.0 states/eV/f.u. The space-group type is R3m, No. 160.

---

8.
## Pm2SmScAs4 (GGA-PBE)

Data for a geometry-optimized Pm2SmScAs4 structure.

Unit cell a=7.182 b=4.157 c=7.185 alpha=90.00 beta=109.50 gamma=90.00
Positions (direct):
Pm (0.000, 0.000, 0.000)
Pm (0.000, 0.500, 0.500)
Sm (0.500, 0.000, 0.500)
Sc (0.500, 0.500, 0.000)
As (0.258, 0.500, 0.244)
As (0.265, 0.000, 0.764)
As (0.735, 0.000, 0.236)
As (0.742, 0.500, 0.756)

The value obtained for the formation energy is -1.457 eV per atom. Its crystal system is monoclinic. The total energy comes out at -6.350 eV per atom. The calculation puts the density of states at the Fermi level at 0.7 states/eV/f.u. The space-group type is P2/m, No. 10.

---

9.
## PmSm2ScAs4 (GGA-PBE)

Data for a geometry-optimized PmSm2ScAs4 structure.

Unit cell a=7.173 b=4.151 c=7.176 alpha=90.00 beta=109.49 gamma=90.00
Positions (direct):
Pm (0.000, 0.000, 0.000)
Sm (0.000, 0.500, 0.500)
Sm (0.500, 0.000, 0.500)
Sc (0.500, 0.500, 0.000)
As (0.258, 0.500, 0.244)
As (0.264, 0.000, 0.763)
As (0.736, 0.000, 0.237)
As (0.742, 0.500, 0.756)

The value obtained for the formation energy is -1.456 eV per atom. Its crystal system is monoclinic. The total energy comes out at -6.345 eV per atom. The calculation puts the density of states at the Fermi level at 0.7 states/eV/f.u. The space-group type is P2/m, No. 10.

---

10.
## PmSmSc2As4 (GGA-PBE)

Data for a geometry-optimized PmSmSc2As4 structure.

Unit cell a=7.002 b=4.067 c=7.039 alpha=90.00 beta=109.59 gamma=90.00
Positions (direct):
Pm (0.000, 0.000, 0.000)
Sm (0.000, 0.500, 0.500)
Sc (0.500, 0.000, 0.500)
Sc (0.500, 0.500, 0.000)
As (0.271, 0.000, 0.756)
As (0.272, 0.500, 0.258)
As (0.728, 0.500, 0.742)
As (0.729, 0.000, 0.244)

The value obtained for the formation energy is -1.427 eV per atom. Its crystal system is monoclinic. The total energy comes out at -6.518 eV per atom. The calculation puts the density of states at the Fermi level at 1.0 states/eV/f.u. The space-group type is P2/m, No. 10.

---

11.
## TbPmSc2As4 (GGA-PBE)

Data for a geometry-optimized TbPmSc2As4 structure.

Unit cell a=6.974 b=4.047 c=7.003 alpha=90.00 beta=109.57 gamma=90.00
Positions (direct):
Tb (0.000, 0.000, 0.000)
Pm (0.000, 0.500, 0.500)
Sc (0.500, 0.000, 0.500)
Sc (0.500, 0.500, 0.000)
As (0.268, 0.500, 0.253)
As (0.270, 0.000, 0.760)
As (0.730, 0.000, 0.240)
As (0.732, 0.500, 0.747)

The value obtained for the formation energy is -1.433 eV per atom. Its crystal system is monoclinic. The total energy comes out at -6.514 eV per atom. The calculation puts the density of states at the Fermi level at 1.0 states/eV/f.u. The space-group type is P2/m, No. 10.

---

12.
## Tb2PmScAs4 (GGA-PBE)

Data for a geometry-optimized Tb2PmScAs4 structure.

Unit cell a=7.105 b=4.111 c=7.113 alpha=90.00 beta=109.47 gamma=90.00
Positions (direct):
Tb (0.000, 0.000, 0.000)
Tb (0.500, 0.500, 0.000)
Pm (0.000, 0.500, 0.500)
Sc (0.500, 0.000, 0.500)
As (0.259, 0.000, 0.749)
As (0.262, 0.500, 0.258)
As (0.738, 0.500, 0.742)
As (0.741, 0.000, 0.251)

The value obtained for the formation energy is -1.465 eV per atom. Its crystal system is monoclinic. The total energy comes out at -6.333 eV per atom. The calculation puts the density of states at the Fermi level at 0.8 states/eV/f.u. The space-group type is P2/m, No. 10.

---

13.
## PmScTeAs (GGA-PBE)

Data for a geometry-optimized PmScTeAs structure.

Unit cell a=7.642 b=7.642 c=7.642 alpha=31.06 beta=31.06 gamma=31.06
Positions (direct):
Pm (0.000, 0.000, 0.000)
Sc (0.190, 0.190, 0.190)
Te (0.434, 0.434, 0.434)
As (0.589, 0.589, 0.589)

As for the formation energy without anion corrections: -1354 meV/atom. Its crystal system is trigonal. The total energy comes out at -6.072 eV per atom. The calculation puts the density of states at the Fermi level at 2.8 states/eV/f.u. The space-group type is R3m, No. 160.

---

14.
## PmThSc2As4 (GGA-PBE)

Data for a geometry-optimized PmThSc2As4 structure.

Unit cell a=6.995 b=4.091 c=7.075 alpha=90.00 beta=109.65 gamma=90.00
Positions (direct):
Pm (0.000, 0.000, 0.000)
Th (0.000, 0.500, 0.500)
Sc (0.500, 0.000, 0.500)
Sc (0.500, 0.500, 0.000)
As (0.272, 0.500, 0.258)
As (0.273, 0.000, 0.758)
As (0.727, 0.000, 0.242)
As (0.728, 0.500, 0.742)

The value obtained for the formation energy is -1.413 eV per atom. Its crystal system is monoclinic. The total energy comes out at -6.842 eV per atom. The calculation puts the density of states at the Fermi level at 1.7 states/eV/f.u. The space-group type is P2/m, No. 10.

---

15.
## Pm2ThScAs4 (GGA-PBE)

Data for a geometry-optimized Pm2ThScAs4 structure.

Unit cell a=7.183 b=4.178 c=7.238 alpha=90.00 beta=109.46 gamma=90.00
Positions (direct):
Pm (0.000, 0.000, 0.000)
Pm (0.500, 0.500, 0.000)
Th (0.000, 0.500, 0.500)
Sc (0.500, 0.000, 0.500)
As (0.258, 0.000, 0.743)
As (0.264, 0.500, 0.265)
As (0.736, 0.500, 0.735)
As (0.742, 0.000, 0.257)

The value obtained for the formation energy is -1.444 eV per atom. Its crystal system is monoclinic. The total energy comes out at -6.676 eV per atom. The calculation puts the density of states at the Fermi level at 1.5 states/eV/f.u. The space-group type is P2/m, No. 10.

---

16.
## PmTm2ScAs4 (GGA-PBE)

Data for a geometry-optimized PmTm2ScAs4 structure.

Unit cell a=7.040 b=4.073 c=7.049 alpha=90.00 beta=109.47 gamma=90.00
Positions (direct):
Pm (0.000, 0.000, 0.000)
Tm (0.000, 0.500, 0.500)
Tm (0.500, 0.000, 0.500)
Sc (0.500, 0.500, 0.000)
As (0.261, 0.000, 0.753)
As (0.261, 0.500, 0.254)
As (0.739, 0.000, 0.247)
As (0.739, 0.500, 0.746)

The value obtained for the formation energy is -1.448 eV per atom. Its crystal system is monoclinic. The total energy comes out at -6.276 eV per atom. The calculation puts the density of states at the Fermi level at 0.9 states/eV/f.u. The space-group type is P2/m, No. 10.

---

17.
## Pm2TmScAs4 (GGA-PBE)

Data for a geometry-optimized Pm2TmScAs4 structure.

Unit cell a=7.104 b=4.117 c=7.123 alpha=90.00 beta=109.53 gamma=90.00
Positions (direct):
Pm (0.000, 0.000, 0.000)
Pm (0.000, 0.500, 0.500)
Tm (0.500, 0.000, 0.500)
Sc (0.500, 0.500, 0.000)
As (0.265, 0.500, 0.250)
As (0.268, 0.000, 0.761)
As (0.732, 0.000, 0.239)
As (0.735, 0.500, 0.750)

The value obtained for the formation energy is -1.461 eV per atom. Its crystal system is monoclinic. The total energy comes out at -6.324 eV per atom. The calculation puts the density of states at the Fermi level at 0.9 states/eV/f.u. The space-group type is P2/m, No. 10.

---

18.
## PmTmSc2As4 (GGA-PBE)

Data for a geometry-optimized PmTmSc2As4 structure.

Unit cell a=6.948 b=4.027 c=6.967 alpha=90.00 beta=109.55 gamma=90.00
Positions (direct):
Pm (0.000, 0.000, 0.000)
Tm (0.000, 0.500, 0.500)
Sc (0.500, 0.000, 0.500)
Sc (0.500, 0.500, 0.000)
As (0.265, 0.000, 0.750)
As (0.269, 0.500, 0.261)
As (0.731, 0.500, 0.739)
As (0.735, 0.000, 0.250)

The value obtained for the formation energy is -1.424 eV per atom. Its crystal system is monoclinic. The total energy comes out at -6.484 eV per atom. The calculation puts the density of states at the Fermi level at 1.0 states/eV/f.u. The space-group type is P2/m, No. 10.

---

19.
## Pm2ScUAs4 (GGA-PBE)

Data for a geometry-optimized Pm2ScUAs4 structure.

Unit cell a=7.098 b=4.102 c=7.133 alpha=90.00 beta=109.16 gamma=90.00
Positions (direct):
Pm (0.000, 0.000, 0.000)
Pm (0.500, 0.500, 0.000)
Sc (0.000, 0.500, 0.500)
U (0.500, 0.000, 0.500)
As (0.241, 0.000, 0.730)
As (0.250, 0.500, 0.266)
As (0.750, 0.500, 0.734)
As (0.759, 0.000, 0.270)

The value obtained for the formation energy is -1.271 eV per atom. Its crystal system is monoclinic. The total energy comes out at -6.986 eV per atom. The calculation puts the density of states at the Fermi level at 7.9 states/eV/f.u. The space-group type is P2/m, No. 10.

---

20.
## Pm2YScAs4 (GGA-PBE)

Data for a geometry-optimized Pm2YScAs4 structure.

Unit cell a=7.134 b=4.132 c=7.148 alpha=90.00 beta=109.52 gamma=90.00
Positions (direct):
Pm (0.000, 0.000, 0.000)
Pm (0.000, 0.500, 0.500)
Y (0.500, 0.000, 0.500)
Sc (0.500, 0.500, 0.000)
As (0.262, 0.500, 0.247)
As (0.267, 0.000, 0.762)
As (0.733, 0.000, 0.238)
As (0.738, 0.500, 0.753)

The value obtained for the formation energy is -1.472 eV per atom. Its crystal system is monoclinic. The total energy comes out at -6.584 eV per atom. The calculation puts the density of states at the Fermi level at 0.9 states/eV/f.u. The space-group type is P2/m, No. 10.